# 1
DFT (PBE) results for a relaxed Ag14HgPd crystal.

```
Ag14HgPd
1.0
9.567 0.000 0.000
0.000 2.929 5.137
0.000 -2.929 5.137
Ag Hg Pd
14 1 1
Cartesian
0.000 0.000 10.271
0.000 1.463 7.703
0.000 -1.463 7.703
0.000 0.000 5.137
2.363 0.000 3.453
2.382 -1.448 6.004
2.382 1.448 6.004
2.401 0.000 8.567
4.784 -1.461 4.312
4.784 1.461 4.312
7.166 0.000 8.567
7.186 -1.448 6.004
7.186 1.448 6.004
7.204 0.000 3.453
4.784 0.000 1.748
4.784 0.000 6.878
```

Output
Its total energy is -0.104 Ha/atom. Its space-group type is Amm2 (38). Its crystal system is orthorhombic. Its density of states at the Fermi level is 5.236 states/eV per cell. The formation energy comes out at 0.0128 eV/atom.

---

# 2
DFT (PBE) results for a relaxed AgHg3Pd6 crystal.

```
AgHg3Pd6
1.0
4.624 -7.793 0.000
4.624 7.793 0.000
0.000 0.000 4.977
Ag Hg Pd
2 6 12
Cartesian
4.624 4.411 2.489
4.624 -4.411 0.000
1.533 1.530 1.614
1.533 -1.530 4.103
4.624 1.560 2.162
4.624 -1.560 4.650
7.714 1.530 1.614
7.714 -1.530 4.103
2.286 3.333 3.536
4.624 6.947 1.501
3.121 0.822 4.423
4.624 3.195 4.953
3.121 -0.822 1.934
2.286 -3.333 1.047
6.961 3.333 3.536
6.126 0.822 4.423
4.624 -3.195 2.464
6.126 -0.822 1.934
4.624 -6.947 3.989
6.961 -3.333 1.047
```

Output
Its total energy is -0.128 Ha/atom. Its space-group type is Cmc2_1 (36). As for the excess energy over the best structure of this formula in the dataset: 0.130 eV/atom. Its crystal system is orthorhombic. Its density of states at the Fermi level is 12.250 states/eV per cell. The formation energy comes out at 0.0067 eV/atom.

---

# 3
DFT (PBE) results for a relaxed Ag8Hg2Pd crystal.

```
Ag8Hg2Pd
1.0
-2.035 4.289 6.110
2.035 -4.289 6.110
2.035 4.289 -6.110
Ag Hg Pd
8 2 1
Cartesian
2.035 2.111 -2.012
0.000 0.000 2.078
0.000 2.008 0.000
2.035 2.111 2.012
0.000 2.178 4.098
0.000 6.571 0.000
0.000 0.000 10.142
0.000 2.178 8.122
2.035 0.000 4.330
0.000 4.289 1.780
2.035 0.000 0.000
```

Output
Its total energy is -0.094 Ha/atom. Its space-group type is Immm (71). As for the excess energy over the best structure of this formula in the dataset: 0.000 eV/atom. Its crystal system is orthorhombic. Its density of states at the Fermi level is 2.744 states/eV per cell. The formation energy comes out at 0.0470 eV/atom.

---

# 4
DFT (PBE) results for a relaxed Ag2HgPd crystal.

```
Ag2HgPd
1.0
0.000 3.310 3.310
3.310 0.000 3.310
3.310 3.310 0.000
Ag Hg Pd
2 1 1
Cartesian
1.655 1.655 1.655
4.965 4.965 4.965
0.000 0.000 0.000
3.310 3.310 3.310
```

Output
Its total energy is -0.103 Ha/atom. Its space-group type is Fm-3m (225). As for the excess energy over the best structure of this formula in the dataset: 0.078 eV/atom. Its crystal system is cubic. Its density of states at the Fermi level is 1.329 states/eV per cell. The formation energy comes out at 0.0062 eV/atom.

---

# 5
DFT (PBE) results for a relaxed Ag2Hg4Pd5 crystal.

```
Ag2Hg4Pd5
1.0
-1.431 3.781 10.565
1.431 -3.781 10.565
1.431 3.781 -10.565
Ag Hg Pd
2 4 5
Cartesian
0.000 0.000 4.870
0.000 0.000 16.261
0.000 2.397 0.000
0.000 0.000 7.671
0.000 0.000 13.460
0.000 5.165 0.000
1.431 0.000 0.000
1.431 -2.433 8.072
0.000 1.348 2.494
1.431 2.433 8.072
0.000 6.215 2.494
```

Output
Its total energy is -0.102 Ha/atom. Its space-group type is Immm (71). Its crystal system is orthorhombic. Its density of states at the Fermi level is 6.071 states/eV per cell. The formation energy comes out at 0.2048 eV/atom.

---

# 6
DFT (PBE) results for a relaxed AgHg3Pd3 crystal.

```
AgHg3Pd3
1.0
7.823 0.000 0.000
-3.911 6.775 0.000
0.000 0.000 4.850
Ag Hg Pd
2 6 6
Cartesian
0.000 4.517 1.212
3.911 2.258 3.637
-1.092 3.054 3.637
-0.721 6.194 3.637
2.099 2.472 1.212
1.813 4.302 3.637
4.633 0.581 1.212
5.003 3.721 1.212
-0.590 1.576 1.212
-2.252 6.498 1.212
1.070 1.299 3.637
2.842 5.476 1.212
6.163 0.277 3.637
4.502 5.199 3.637
```

Output
Its total energy is -0.103 Ha/atom. Its space-group type is P6_3/m (176). As for the excess energy over the best structure of this formula in the dataset: 0.054 eV/atom. Its crystal system is hexagonal. Its density of states at the Fermi level is 6.632 states/eV per cell. The formation energy comes out at -0.0456 eV/atom.

---

# 7
DFT (PBE) results for a relaxed AgHg2Pd2 crystal.

```
AgHg2Pd2
1.0
6.831 -2.294 0.000
6.831 2.294 0.000
-4.490 0.000 6.453
Ag Hg Pd
2 4 4
Cartesian
3.463 1.150 4.840
5.708 -1.150 1.613
0.376 1.151 5.861
6.551 1.151 3.819
2.621 -1.151 2.634
8.796 -1.151 0.592
4.268 1.143 2.197
7.149 1.143 1.029
2.023 -1.143 5.424
4.904 -1.143 4.256
```

Output
Its total energy is -0.104 Ha/atom. Its space-group type is C2/c (15). As for the excess energy over the best structure of this formula in the dataset: 0.000 eV/atom. Its crystal system is monoclinic. Its density of states at the Fermi level is 3.829 states/eV per cell. The formation energy comes out at -0.0500 eV/atom.

---

# 8
DFT (PBE) results for a relaxed Ag15Hg2Pd2 crystal.

```
Ag15Hg2Pd2
1.0
4.757 2.746 4.847
-4.757 2.746 4.847
0.000 -5.493 4.847
Ag Hg Pd
15 2 2
Cartesian
-4.757 0.000 7.271
-1.634 -2.662 4.847
-2.378 1.373 2.424
-3.122 -0.084 4.847
-2.352 -1.358 7.279
0.000 -2.716 7.262
-2.352 1.358 7.262
-3.122 0.084 9.694
-1.488 2.746 4.847
2.378 1.373 2.424
-1.634 2.662 9.694
1.488 2.746 4.847
2.352 -1.358 7.279
0.000 2.716 7.279
2.352 1.358 7.262
0.000 0.000 1.376
0.000 0.000 13.165
0.000 0.000 4.132
0.000 0.000 10.409
```

Output
Its total energy is -0.097 Ha/atom. Its space-group type is R-3m (166). Its crystal system is trigonal. Its density of states at the Fermi level is 6.465 states/eV per cell. The formation energy comes out at 0.1819 eV/atom.

---

# 9
DFT (PBE) results for a relaxed Ag5Hg2Pd crystal.

```
Ag5Hg2Pd
1.0
6.010 0.000 0.000
0.000 12.010 0.000
0.000 0.000 4.094
Ag Hg Pd
10 4 2
Cartesian
0.000 0.000 0.000
0.085 2.991 0.000
1.456 10.492 2.047
1.549 4.487 2.047
2.920 8.996 0.000
3.005 6.005 0.000
3.089 3.014 0.000
4.461 7.523 2.047
4.554 1.518 2.047
5.925 9.019 0.000
1.403 7.452 2.047
1.602 1.447 2.047
4.407 10.563 2.047
4.607 4.558 2.047
0.000 6.005 0.000
3.005 0.000 0.000
```

Output
Its total energy is -0.093 Ha/atom. Its space-group type is Pbam (55). Its crystal system is orthorhombic. Its density of states at the Fermi level is 5.409 states/eV per cell. The formation energy comes out at -0.0133 eV/atom.

---

# 10
DFT (PBE) results for a relaxed AgHg3Pd7 crystal.

```
AgHg3Pd7
1.0
4.605 -4.767 0.000
4.605 4.767 0.000
-2.218 0.000 4.759
Ag Hg Pd
1 3 7
Cartesian
0.000 0.000 0.000
3.496 2.069 2.379
4.605 0.000 0.000
3.496 -2.069 2.379
-1.109 0.000 2.379
1.194 2.357 3.934
1.614 0.000 2.187
5.797 2.357 0.825
1.194 -2.357 3.934
5.377 0.000 2.572
5.797 -2.357 0.825
```

Output
Its total energy is -0.130 Ha/atom. Its space-group type is C2/m (12). Its crystal system is monoclinic. Its density of states at the Fermi level is 4.444 states/eV per cell. The formation energy comes out at 0.1017 eV/atom.

---

# 11
DFT (PBE) results for a relaxed AgHg2Pd7 crystal.

```
AgHg2Pd7
1.0
4.298 -8.081 0.000
4.298 8.081 0.000
0.000 0.000 2.785
Ag Hg Pd
1 2 7
Cartesian
0.000 0.000 0.000
4.298 2.906 1.393
4.298 -2.906 1.393
1.982 1.428 1.393
4.298 5.300 0.000
1.982 -1.428 1.393
4.298 0.000 1.393
6.615 1.428 1.393
4.298 -5.300 0.000
6.615 -1.428 1.393
```

Output
Its total energy is -0.139 Ha/atom. Its space-group type is Cmmm (65). Its crystal system is orthorhombic. Its density of states at the Fermi level is 10.425 states/eV per cell. The formation energy comes out at 0.2009 eV/atom.

---

# 12
DFT (PBE) results for a relaxed Ag3HgPd2 crystal.

```
Ag3HgPd2
1.0
2.911 -4.148 0.000
2.911 4.148 0.000
-2.676 0.000 8.675
Ag Hg Pd
6 2 4
Cartesian
-0.593 1.037 5.046
0.904 3.107 6.506
0.745 -1.037 0.709
2.402 1.037 7.966
2.242 -3.107 2.169
3.739 -1.037 3.629
2.242 1.033 2.169
0.904 -1.033 6.506
-0.513 1.037 7.962
0.825 -1.037 3.625
2.322 1.037 5.050
3.660 -1.037 0.713
```

Output
Its total energy is -0.120 Ha/atom. Its space-group type is C2/c (15). Its crystal system is monoclinic. Its density of states at the Fermi level is 4.383 states/eV per cell. The formation energy comes out at -0.0649 eV/atom.